The following is a SCAN calculation of La5Hg4 at its PBEsol-relaxed geometry, from Alexandria.

Unit cell a=9.4718 b=9.4718 c=6.7897 alpha=90.00 beta=90.00 gamma=120.00
Positions (direct):
La  0.0000  0.2891  0.2500
La  0.0000  0.7109  0.7500
La  0.2891  0.0000  0.2500
La  0.2891  0.2891  0.7500
La  0.3333  0.6667  0.0000
La  0.3333  0.6667  0.5000
La  0.6667  0.3333  0.0000
La  0.6667  0.3333  0.5000
La  0.7109  0.0000  0.7500
La  0.7109  0.7109  0.2500
Hg  0.0000  0.0000  0.0000
Hg  0.0000  0.0000  0.5000
Hg  0.0000  0.3753  0.7500
Hg  0.0000  0.6247  0.2500
Hg  0.3753  0.0000  0.7500
Hg  0.3753  0.3753  0.2500
Hg  0.6247  0.0000  0.2500
Hg  0.6247  0.6247  0.7500

E_form, eV/atom: -0.60